ZnNiB after structural relaxation. Source: OQMD via LeMat-Bulk, functional PBE-GGA.

Results
Uncorrected energy ... -3.991 eV per atom

abc: 3.685 3.685 3.685
angles: 60.00 60.00 60.00
Sites, in units of the cell vectors:
Zn 0.000 0.000 0.000
Ni 0.750 0.750 0.750
B 0.500 0.500 0.500